# 1
Material: SrAlCdAu
Method: DFT, GGA-PBE
State: relaxed

Cell: 5.112 5.112 5.112 Å, 60.00 60.00 60.00°
Fractional coordinates of all 4 atoms:
Au 0.750 0.750 0.750
Al 0.250 0.250 0.250
Sr 0.500 0.500 0.500
Cd 0.000 0.000 0.000

Computed properties:
The energy above the most stable polymorph in this dataset comes out at 0.057 eV/atom. The calculation puts the electronic total energy at -10.50 eV per formula unit. Its space group is No. 216.

# 2
Material: SmInGe
Method: DFT, GGA-PBE
State: relaxed

Cell: 5.004 5.004 5.004 Å, 60.00 60.00 60.00°
Fractional coordinates of all 3 atoms:
Ge 0.250 0.250 0.250
In 0.750 0.750 0.750
Sm 0.000 0.000 0.000

Computed properties:
The spin magnetization comes out at 0.00 μB/f.u. The calculation puts the electronic total energy at -12.42 eV per formula unit. Its space group is No. 216.

# 3
Material: TaCdB2
Method: DFT, GGA-PBE
State: relaxed

Cell: 4.287 4.287 4.287 Å, 60.00 60.00 60.00°
Site moments in Bohr magnetons follow the coordinates.
Fractional coordinates of all 4 atoms:
Ta 0.750 0.750 0.750  0.19
Cd 0.500 0.500 0.500  0.01
B 0.250 0.250 0.250  0.01
B 0.000 0.000 0.000  0.03

Computed properties:
The spin magnetization comes out at 0.34 μB/f.u. The calculation puts the electronic total energy at -18.97 eV per formula unit. Its space group is No. 216.

# 4
Material: ScAgGeS3
Method: DFT, GGA-PBE
State: relaxed

Cell: 3.618 11.650 12.019 Å, 90.00 90.00 90.00°
Fractional coordinates of all 24 atoms:
Ag 0.750 0.318 0.413
Ag 0.250 0.182 0.913
Ag 0.250 0.682 0.587
Ag 0.750 0.818 0.087
Ge 0.250 0.326 0.601
Ge 0.750 0.674 0.399
Ge 0.750 0.174 0.101
Ge 0.250 0.826 0.899
S 0.750 0.736 0.793
S 0.750 0.995 0.198
S 0.250 0.392 0.950
S 0.250 0.764 0.293
S 0.750 0.495 0.302
S 0.750 0.108 0.450
S 0.750 0.608 0.050
S 0.250 0.892 0.550
S 0.750 0.236 0.707
S 0.250 0.005 0.802
S 0.250 0.505 0.698
S 0.250 0.264 0.207
Sc 0.250 0.488 0.143
Sc 0.750 0.512 0.857
Sc 0.250 0.988 0.357
Sc 0.750 0.012 0.643

Computed properties:
The energy above the most stable polymorph in this dataset comes out at 0.000 eV/atom. The spin magnetization comes out at 0.00 μB/f.u. The calculation puts the electronic total energy at -31.27 eV per formula unit. Its space group is No. 62.

# 5
Material: RbHoGaTe3
Method: DFT, GGA-PBE
State: relaxed

Cell: 8.322 8.322 11.639 Å, 90.00 90.00 146.47°
Fractional coordinates of all 12 atoms:
Ga 0.480 0.520 0.750
Ga 0.520 0.480 0.250
Te 0.066 0.934 0.750
Te 0.378 0.622 0.942
Te 0.622 0.378 0.442
Te 0.622 0.378 0.058
Te 0.934 0.066 0.250
Te 0.378 0.622 0.558
Rb 0.751 0.249 0.750
Rb 0.249 0.751 0.250
Ho 0.000 0.000 0.500
Ho 0.000 0.000 0.000

Computed properties:
The spin magnetization comes out at 0.00 μB/f.u. The calculation puts the electronic total energy at -23.64 eV per formula unit. Its space group is No. 63.

# 6
Material: NbCoNiBi
Method: DFT, GGA-PBE
State: relaxed

Cell: 4.468 4.468 4.468 Å, 60.00 60.00 60.00°
Fractional coordinates of all 4 atoms:
Co 0.750 0.750 0.750
Nb 0.500 0.500 0.500
Ni 0.250 0.250 0.250
Bi 0.000 0.000 0.000

Computed properties:
The energy above the most stable polymorph in this dataset comes out at 0.000 eV/atom. The spin magnetization comes out at 0.04 μB/f.u. The calculation puts the electronic total energy at -25.84 eV per formula unit. Its space group is No. 216.

# 7
Material: CsKZnSn
Method: DFT, GGA-PBE
State: relaxed

Cell: 6.850 7.088 7.088 Å, 71.83 90.00 90.00°
Fractional coordinates of all 8 atoms:
Sn 0.750 0.732 0.253
Sn 0.250 0.253 0.732
K 0.750 0.322 0.012
K 0.250 0.012 0.322
Zn 0.000 0.509 0.509
Zn 0.500 0.509 0.509
Cs 0.250 0.672 0.992
Cs 0.750 0.992 0.672

Computed properties:
The energy above the most stable polymorph in this dataset comes out at 0.009 eV/atom. The calculation puts the electronic total energy at -7.91 eV per formula unit. Its space group is No. 40.

# 8
Material: NbGaCoCu
Method: DFT, GGA-PBE
State: relaxed

Cell: 4.249 4.249 4.249 Å, 60.00 60.00 60.00°
Fractional coordinates of all 4 atoms:
Nb 0.500 0.500 0.500
Ga 0.000 0.000 0.000
Cu 0.750 0.750 0.750
Co 0.250 0.250 0.250

Computed properties:
The energy above the most stable polymorph in this dataset comes out at 0.000 eV/atom. The spin magnetization comes out at 0.00 μB/f.u. The calculation puts the electronic total energy at -24.67 eV per formula unit. Its space group is No. 216.

# 9
Material: PrAgSnSeS2
Method: DFT, GGA-PBE
State: relaxed

Cell: 6.996 6.996 11.088 Å, 90.00 90.00 145.89°
Fractional coordinates of all 12 atoms:
Sn 0.773 0.227 0.750
Sn 0.227 0.773 0.250
S 0.361 0.639 0.570
S 0.639 0.361 0.430
S 0.361 0.639 0.930
S 0.639 0.361 0.070
Ag 0.524 0.476 0.250
Ag 0.476 0.524 0.750
Se 0.106 0.894 0.750
Se 0.894 0.106 0.250
Pr 0.000 0.000 0.000
Pr 0.000 0.000 0.500

Computed properties:
The spin magnetization comes out at 0.00 μB/f.u. The calculation puts the electronic total energy at -28.84 eV per formula unit. Its space group is No. 63.